Below is a geometry-optimized PrEr3Ru2 structure, with properties calculated at the PBE level.

- DOS at the Fermi energy: 5.056 states/eV/cell
- Energy relative to the elements: -0.326 eV/atom
- Excess energy over the best structure of this formula in the dataset: 0.000 eV per formula unit

Cell lengths 3.408, 3.408, 12.415 Å; angles 90.00, 90.00, 90.00 degrees
Element x y z (fractional)
1 Pr 0.000 0.000 0.000
2 Er 0.500 0.500 0.234
3 Er 0.500 0.500 0.500
4 Er 0.500 0.500 0.766
5 Ru 0.000 0.000 0.359
6 Ru 0.000 0.000 0.641